1.
The following is a DFT calculation (GGA-PBE) of TaBePt after structural relaxation.

Cell lengths 2.8725, 2.8725, 6.1363 Å; angles 90.00, 90.00, 120.00 degrees
Space group P3m1 (No. 156)
Symmetry-distinct sites (fractional):
Ta1 0.0000 0.0000 0.0000
Be1 0.6667 0.3333 0.3418
Pt1 0.3333 0.6667 0.6223

Values from the calculation:
energy above the most stable polymorph in this dataset	514	meV per atom
spin magnetization	0.0	μB per formula unit
ΔE_f	-119.0	meV/atom

***

2.
The following is a DFT calculation (GGA-PBE) of TaBe3Pt after structural relaxation.

Cell lengths 4.2985, 4.2985, 4.2985 Å; angles 90.00, 90.00, 90.00 degrees
Space group Pm-3m (No. 221)
Symmetry-distinct sites (fractional):
Ta1 0.0000 0.0000 0.0000
Be1 0.0000 0.0000 0.5000
Pt1 0.5000 0.5000 0.5000

Values from the calculation:
energy above the most stable polymorph in this dataset	1247	meV per atom
spin magnetization	0.0	μB per formula unit
ΔE_f	1662.6	meV/atom

***

3.
The following is a DFT calculation (GGA-PBE) of TaBePt after structural relaxation.

Cell lengths 10.8173, 3.6257, 6.3007 Å; angles 90.00, 90.00, 90.00 degrees
Space group Pmma (No. 51)
Symmetry-distinct sites (fractional):
Ta1 0.0385 0.0000 0.2221
Ta2 0.2500 0.0000 0.8551
Be1 0.0927 0.5000 0.9481
Be2 0.2500 0.0000 0.4310
Pt1 0.1211 0.5000 0.5772
Pt2 0.2500 0.5000 0.1920

Values from the calculation:
energy above the most stable polymorph in this dataset	45	meV per atom
spin magnetization	0.0	μB per formula unit
ΔE_f	-588.2	meV/atom